No. 1
A geometry-optimized SrLi2MnCl8 structure. Source: Alexandria, functional PBE.

a = 6.286 Å, b = 6.929 Å, c = 8.207 Å
α = 66.76°, β = 92.20°, γ = 99.69°
Last column: magnetic moment on the atom in μB.
Positions (direct):
Li1 0.481 0.663 0.308  0.00
Cl1 0.597 0.715 0.566  0.00
Mn1 0.000 0.000 0.000  2.89
Cl2 0.884 0.221 0.727  -0.03
Cl3 0.690 0.764 0.038  0.02
Cl4 0.116 0.779 0.273  -0.03
Cl5 0.844 0.177 0.133  0.01
Cl6 0.310 0.236 0.962  0.02
Cl7 0.403 0.285 0.434  0.00
Li2 0.519 0.337 0.692  0.00
Sr1 0.000 0.000 0.500  0.00
Cl8 0.156 0.823 0.867  0.01

Results
Uncorrected energy ... -3.988 eV per atom
Formation energy (no corrections) ... -1.533 eV per atom

No. 2
A geometry-optimized Ho3Tm3CuRu2 structure. Source: Alexandria, functional PBE.

a = 4.739 Å, b = 7.193 Å, c = 7.193 Å
α = 120.00°, β = 90.00°, γ = 90.00°
Positions (direct):
Ru1 0.500 0.333 0.667
Ho1 0.500 0.733 0.000
Ru2 0.500 0.667 0.333
Ho2 0.500 0.000 0.733
Tm1 0.000 0.000 0.415
Tm2 0.000 0.585 0.585
Ho3 0.500 0.267 0.267
Tm3 0.000 0.415 0.000
Cu1 0.000 0.000 0.000

Results
Uncorrected energy ... -5.757 eV per atom
D(E_F) ... 6.814 states/eV/cell
Energy relative to the elements ... -0.224 eV/atom

No. 3
A geometry-optimized LaAlRe2 structure. Source: Alexandria, functional PBE.

a = 3.504 Å, b = 4.548 Å, c = 4.548 Å
α = 90.00°, β = 90.00°, γ = 90.00°
Positions (direct):
La1 0.500 0.000 0.500
Al1 0.500 0.500 0.000
Re1 0.000 0.000 0.000
Re2 0.000 0.500 0.500

Results
Uncorrected energy ... -7.775 eV per atom
D(E_F) ... 6.082 states/eV/cell
Energy relative to the elements ... 0.617 eV/atom

No. 4
A geometry-optimized Li2PtAu structure. Source: Alexandria, functional PBE.

a = 2.846 Å, b = 2.846 Å, c = 8.685 Å
α = 80.57°, β = 80.57°, γ = 60.00°
Positions (direct):
Li1 0.087 0.087 0.740
Li2 0.247 0.247 0.260
Au1 0.666 0.666 0.001
Pt1 0.500 0.500 0.500

Results
Uncorrected energy ... -3.757 eV per atom
D(E_F) ... 3.569 states/eV/cell
Energy relative to the elements ... -0.471 eV/atom

No. 5
A geometry-optimized InSnHF2 structure. Source: Alexandria, functional PBE.

a = 4.771 Å, b = 3.514 Å, c = 4.771 Å
α = 90.00°, β = 90.00°, γ = 90.00°
Positions (direct):
F1 0.000 0.000 0.500
In1 0.000 0.500 0.000
Sn1 0.500 0.500 0.500
F2 0.500 0.000 0.000
H1 0.000 0.000 0.000

Results
Uncorrected energy ... -3.503 eV per atom
D(E_F) ... 1.912 states/eV/cell

No. 6
A geometry-optimized SbP2SO structure. Source: Alexandria, functional PBE.

a = 4.758 Å, b = 3.564 Å, c = 4.758 Å
α = 90.00°, β = 90.00°, γ = 90.00°
Positions (direct):
S1 0.000 0.000 0.000
O1 0.000 0.500 0.000
Sb1 0.500 0.500 0.500
P1 0.500 0.000 0.000
P2 0.000 0.000 0.500

Results
Uncorrected energy ... -4.434 eV per atom
D(E_F) ... 2.737 states/eV/cell
Formation energy (no corrections) ... 0.372 eV per atom
ΔE to the lowest computed polymorph ... 0 meV/atom

No. 7
A geometry-optimized La3Ni3Ag2 structure. Source: Alexandria, functional PBE.

a = 5.681 Å, b = 8.542 Å, c = 8.542 Å
α = 120.00°, β = 90.00°, γ = 90.00°
Positions (direct):
Ni1 0.750 0.378 0.378
Ni2 0.750 0.000 0.622
Ni3 0.250 0.000 0.378
Ag1 0.500 0.333 0.667
La1 0.750 0.000 0.296
Ni4 0.250 0.378 0.000
La2 0.750 0.296 0.000
Ag2 0.000 0.333 0.667
Ni5 0.250 0.622 0.622
La3 0.750 0.704 0.704
Ag3 0.000 0.667 0.333
La4 0.250 0.000 0.704
La5 0.250 0.296 0.296
La6 0.250 0.704 0.000
Ag4 0.500 0.667 0.333
Ni6 0.750 0.622 0.000

Results
Uncorrected energy ... -4.918 eV per atom
D(E_F) ... 13.302 states/eV/cell
Energy relative to the elements ... -0.189 eV/atom

No. 8
A geometry-optimized CeSmCu10 structure. Source: Alexandria, functional PBE.

a = 4.117 Å, b = 5.112 Å, c = 8.783 Å
α = 90.00°, β = 90.00°, γ = 90.00°
Last column: magnetic moment on the atom in μB.
Positions (direct):
Ce1 0.000 0.500 0.500  0.76
Cu1 0.500 0.250 0.249  0.01
Cu2 0.000 0.000 0.333  0.01
Cu3 0.500 0.250 0.751  0.01
Cu4 0.500 0.750 0.249  0.01
Cu5 0.000 0.000 0.667  0.01
Cu6 0.500 0.500 0.000  0.01
Cu7 0.000 0.500 0.834  0.01
Sm1 0.000 0.000 0.000  0.02
Cu8 0.500 0.000 0.500  0.01
Cu9 0.500 0.750 0.751  0.01
Cu10 0.000 0.500 0.166  0.01

Results
Uncorrected energy ... -4.442 eV per atom
D(E_F) ... 12.145 states/eV/cell
Energy relative to the elements ... -0.140 eV/atom